Arrangement A

DFT (PBE-GGA) results for a geometry-optimized AlCdC2Cl structure.

Cell: 4.193 4.193 5.178 Å, 90.00 90.00 90.00°
Fractional positions:
Al: 0.000 0.000 0.000
Cd: 0.500 0.500 0.000
C: 0.000 0.500 0.500
C: 0.500 0.000 0.500
Cl: 0.500 0.500 0.500

Total magnetization   0.6 μB/f.u.



Arrangement B

DFT (PBE-GGA) results for a geometry-optimized AlCdC2Cl structure.

Cell: 3.964 3.964 5.276 Å, 90.00 90.00 90.00°
Fractional positions:
Al: 0.000 0.000 0.000
Cd: 0.500 0.500 0.500
C: 0.000 0.500 0.000
C: 0.500 0.000 0.000
Cl: 0.000 0.000 0.500

Total magnetization   1.1 μB/f.u.



Relative energy of each structure, in eV/atom: arrangement A 1.239; arrangement B 0.000.



Arrangement A

DFT (PBE-GGA) results for a geometry-optimized CeAlC structure.

Cell: 10.307 3.400 6.206 Å, 90.00 90.00 90.00°
Fractional positions:
Ce: 0.171 0.250 0.160
Ce: 0.329 0.750 0.660
Ce: 0.671 0.250 0.340
Ce: 0.829 0.750 0.840
Al: 0.072 0.250 0.635
Al: 0.428 0.750 0.135
Al: 0.572 0.250 0.865
Al: 0.928 0.750 0.365
C: 0.125 0.750 0.447
C: 0.375 0.250 0.947
C: 0.625 0.750 0.053
C: 0.875 0.250 0.553

Total magnetization   1.0 μB/f.u.



Arrangement B

DFT (PBE-GGA) results for a geometry-optimized CeAlC structure.

Cell: 3.506 3.506 4.485 Å, 90.00 90.00 120.00°
Fractional positions:
Ce: 0.000 0.000 0.000
Al: 0.333 0.667 0.500
C: 0.667 0.333 0.500

Total magnetization   0.5 μB/f.u.



Arrangement C

DFT (PBE-GGA) results for a geometry-optimized CeAlC structure.

Cell: 6.131 6.131 6.131 Å, 148.03 148.03 45.84°
Fractional positions:
Ce: 0.000 0.000 0.000
Al: 0.721 0.721 0.000
C: 0.548 0.548 0.000

Total magnetization   0.1 μB/f.u.



Relative energy of each structure, in eV/atom: arrangement A 0.000; arrangement B 0.038; arrangement C 0.322.



Arrangement A

DFT (PBE-GGA) results for a geometry-optimized AlC2Cl structure.

Cell: 6.123 6.123 6.123 Å, 133.83 133.83 67.36°
Fractional positions:
Al: 0.000 0.000 0.000
Al: 0.750 0.250 0.500
C: 0.074 0.625 0.949
C: 0.375 0.324 0.449
C: 0.676 0.125 0.051
C: 0.875 0.926 0.551
Cl: 0.250 0.750 0.500
Cl: 0.500 0.500 0.000

Total magnetization   0.0 μB/f.u.



Arrangement B

DFT (PBE-GGA) results for a geometry-optimized AlC2Cl structure.

Cell: 4.055 4.055 4.055 Å, 60.00 60.00 60.00°
Fractional positions:
Al: 0.000 0.000 0.000
C: 0.250 0.250 0.250
C: 0.750 0.750 0.750
Cl: 0.500 0.500 0.500

Total magnetization   0.0 μB/f.u.



Relative energy of each structure, in eV/atom: arrangement A 0.000; arrangement B 0.770.